Density functional theory data (PBE) for a relaxed structure of Dy3Tm2Co2.

abc: 3.657 6.191 8.740
angles: 114.79 90.00 107.18
Positions (direct):
Dy (0.500, 0.000, 0.000)
Co (0.820, 0.641, 0.760)
Tm (0.828, 0.656, 0.194)
Co (0.180, 0.359, 0.240)
Tm (0.172, 0.344, 0.806)
Dy (0.617, 0.234, 0.428)
Dy (0.383, 0.766, 0.572)

Calculated values
The raw total energy is -0.201 Ha/atom. The space group is No. 12.

=====

Density functional theory data (PBE) for a relaxed structure of Dy2TmCo.

abc: 3.543 3.543 10.448
angles: 80.24 80.24 60.00
Positions (direct):
Dy (0.888, 0.888, 0.337)
Dy (0.112, 0.112, 0.663)
Co (0.500, 0.500, 0.500)
Tm (0.000, 0.000, 0.000)

Calculated values
The raw total energy is -0.184 Ha/atom. The space group is No. 166.

=====

Density functional theory data (PBE) for a relaxed structure of Dy3TmCo.

abc: 7.232 7.723 9.967
angles: 107.29 90.00 90.00
Positions (direct):
Dy (0.992, 0.212, 0.119)
Tm (0.445, 0.309, 0.243)
Tm (0.055, 0.309, 0.743)
Co (0.255, 0.956, 0.610)
Co (0.745, 0.044, 0.390)
Dy (0.508, 0.212, 0.619)
Co (0.245, 0.956, 0.110)
Dy (0.492, 0.788, 0.381)
Dy (0.295, 0.581, 0.030)
Dy (0.205, 0.581, 0.530)
Dy (0.128, 0.086, 0.394)
Dy (0.795, 0.419, 0.470)
Co (0.755, 0.044, 0.890)
Tm (0.945, 0.691, 0.257)
Tm (0.555, 0.691, 0.757)
Dy (0.705, 0.419, 0.970)
Dy (0.372, 0.086, 0.894)
Dy (0.872, 0.914, 0.606)
Dy (0.628, 0.914, 0.106)
Dy (0.008, 0.788, 0.881)

Calculated values
The raw total energy is -0.187 Ha/atom. The space group is No. 14.

=====

ΔH_f (0 K) list, top to bottom, in eV per atom: -0.18, 0.18, -0.02